VASP calculation (PBE+U) on VFeNO2 after structural relaxation.

Computed properties:
M_tot in μB/cell: 4.00
Calculated total energy in eV/cell: -31.178
SG: P4/mmm

Cell lengths 3.682, 3.682, 3.847 Å; angles 90.00, 90.00, 90.00 degrees
Positions (direct):
V  0.000  0.000  0.000
Fe  0.500  0.500  0.500
N  0.500  0.500  0.000
O  0.000  0.500  0.500
O  0.500  0.000  0.500